Entry 1:
# PBE-GGA PrDy2Ge, optimized geometry
# Offset from the most stable computed form = 0.0000 eV per atom
# ΔE_f = -120.1 kJ/mol of formula units
# Space group = P4/mmm, No. 123
# Fermi-level density of states = 4.889 states/eV per cell
data_PrDy2Ge
_cell_length_a 3.8410
_cell_length_b 3.8410
_cell_length_c 7.4832
_cell_angle_alpha 90.00
_cell_angle_beta 90.00
_cell_angle_gamma 90.00
_symmetry_space_group_name_H-M 'P 1'
_symmetry_Int_Tables_number 1
_symmetry_space_group_name_Hall 'P 1'
loop_
_atom_site_label
_atom_site_fract_x
_atom_site_fract_y
_atom_site_fract_z
_atom_site_occupancy
Pr1 0.0000 0.0000 0.0000 1
Dy1 0.5000 0.5000 0.3030 1
Dy2 0.5000 0.5000 0.6970 1
Ge1 0.0000 0.0000 0.5000 1

***

Entry 2:
# PBE-GGA Yb5Al17Fe4Si6, optimized geometry
# Formation energy (no corrections) = -0.34 eV/atom
# Space group = P4/mmm, No. 123
# Fermi-level density of states = 11.888 states/eV per cell
data_Yb5Al17Fe4Si6
_cell_length_a 11.5291
_cell_length_b 11.5291
_cell_length_c 3.9988
_cell_angle_alpha 90.00
_cell_angle_beta 90.00
_cell_angle_gamma 90.00
_symmetry_space_group_name_H-M 'P 1'
_symmetry_Int_Tables_number 1
_symmetry_space_group_name_Hall 'P 1'
loop_
_atom_site_label
_atom_site_fract_x
_atom_site_fract_y
_atom_site_fract_z
_atom_site_occupancy
Yb1 0.0000 0.0000 0.0000 1
Yb2 0.2565 0.5000 0.0000 1
Yb3 0.5000 0.2565 0.0000 1
Yb4 0.5000 0.7435 0.0000 1
Yb5 0.7435 0.5000 0.0000 1
Al1 0.1133 0.3715 0.5000 1
Al2 0.1133 0.6285 0.5000 1
Al3 0.2037 0.2037 0.0000 1
Al4 0.2037 0.7963 0.0000 1
Al5 0.3315 0.3315 0.5000 1
Al6 0.3315 0.6685 0.5000 1
Al7 0.3715 0.1133 0.5000 1
Al8 0.3715 0.8867 0.5000 1
Al9 0.5000 0.5000 0.5000 1
Al10 0.6285 0.1133 0.5000 1
Al11 0.6285 0.8867 0.5000 1
Al12 0.6685 0.3315 0.5000 1
Al13 0.6685 0.6685 0.5000 1
Al14 0.7963 0.2037 0.0000 1
Al15 0.7963 0.7963 0.0000 1
Al16 0.8867 0.3715 0.5000 1
Al17 0.8867 0.6285 0.5000 1
Fe1 0.0000 0.2951 0.0000 1
Fe2 0.0000 0.7049 0.0000 1
Fe3 0.2951 0.0000 0.0000 1
Fe4 0.7049 0.0000 0.0000 1
Si1 0.0000 0.1793 0.5000 1
Si2 0.0000 0.5000 0.0000 1
Si3 0.0000 0.8207 0.5000 1
Si4 0.1793 0.0000 0.5000 1
Si5 0.5000 0.0000 0.0000 1
Si6 0.8207 0.0000 0.5000 1

***

Entry 3:
# PBE-GGA CsRhPb3, optimized geometry
# Offset from the most stable computed form = 2.1192 eV per atom
# ΔE_f = 936.8 kJ/mol of formula units
# Space group = Pm-3m, No. 221
# Fermi-level density of states = 12.286 states/eV per cell
data_CsRhPb3
_cell_length_a 6.1319
_cell_length_b 6.1319
_cell_length_c 6.1319
_cell_angle_alpha 90.00
_cell_angle_beta 90.00
_cell_angle_gamma 90.00
_symmetry_space_group_name_H-M 'P 1'
_symmetry_Int_Tables_number 1
_symmetry_space_group_name_Hall 'P 1'
loop_
_atom_site_label
_atom_site_fract_x
_atom_site_fract_y
_atom_site_fract_z
_atom_site_occupancy
Cs1 0.0000 0.0000 0.0000 1
Rh1 0.5000 0.5000 0.5000 1
Pb1 0.0000 0.0000 0.5000 1
Pb2 0.0000 0.5000 0.0000 1
Pb3 0.5000 0.0000 0.0000 1

***

Entry 4:
# PBE-GGA NdHS, optimized geometry
# Final energy = -0.392 Ry per atom
# Space group = Cmcm, No. 63
data_NdHS
_cell_length_a 5.5533
_cell_length_b 5.5533
_cell_length_c 5.7316
_cell_angle_alpha 90.00
_cell_angle_beta 90.00
_cell_angle_gamma 136.72
_symmetry_space_group_name_H-M 'P 1'
_symmetry_Int_Tables_number 1
_symmetry_space_group_name_Hall 'P 1'
loop_
_atom_site_label
_atom_site_fract_x
_atom_site_fract_y
_atom_site_fract_z
_atom_site_occupancy
Nd1 0.1421 0.8579 0.7500 1
Nd2 0.8579 0.1421 0.2500 1
H1 0.4337 0.5663 0.2500 1
H2 0.5663 0.4337 0.7500 1
S1 0.1497 0.8503 0.2500 1
S2 0.8503 0.1497 0.7500 1

***

Entry 5:
# PBE-GGA Rb12Ag5F3, optimized geometry
# Formation energy (no corrections) = -0.51 eV/atom
# Space group = Ia-3d, No. 230
# Fermi-level density of states = 29.504 states/eV per cell
data_Rb12Ag5F3
_cell_length_a 17.2476
_cell_length_b 17.2476
_cell_length_c 17.2476
_cell_angle_alpha 109.47
_cell_angle_beta 109.47
_cell_angle_gamma 109.47
_symmetry_space_group_name_H-M 'P 1'
_symmetry_Int_Tables_number 1
_symmetry_space_group_name_Hall 'P 1'
loop_
_atom_site_label
_atom_site_fract_x
_atom_site_fract_y
_atom_site_fract_z
_atom_site_occupancy
Rb1 0.0432 0.6203 0.3728 1
Rb2 0.0432 0.9229 0.6704 1
Rb3 0.0771 0.2475 0.1203 1
Rb4 0.0771 0.3296 0.9568 1
Rb5 0.1203 0.0771 0.2475 1
Rb6 0.1203 0.5432 0.8728 1
Rb7 0.1272 0.7475 0.6704 1
Rb8 0.1272 0.8797 0.4568 1
Rb9 0.1704 0.2475 0.6272 1
Rb10 0.1704 0.4229 0.5432 1
Rb11 0.2475 0.1203 0.0771 1
Rb12 0.2475 0.6272 0.1704 1
Rb13 0.2525 0.3296 0.8728 1
Rb14 0.2525 0.4229 0.3797 1
Rb15 0.3296 0.8728 0.2525 1
Rb16 0.3296 0.9568 0.0771 1
Rb17 0.3728 0.0432 0.6203 1
Rb18 0.3728 0.8296 0.7525 1
Rb19 0.3797 0.2525 0.4229 1
Rb20 0.3797 0.6272 0.9568 1
Rb21 0.4229 0.3797 0.2525 1
Rb22 0.4229 0.5432 0.1704 1
Rb23 0.4568 0.1272 0.8797 1
Rb24 0.4568 0.8296 0.5771 1
Rb25 0.5432 0.1704 0.4229 1
Rb26 0.5432 0.8728 0.1203 1
Rb27 0.5771 0.4568 0.8296 1
Rb28 0.5771 0.6203 0.7475 1
Rb29 0.6203 0.3728 0.0432 1
Rb30 0.6203 0.7475 0.5771 1
Rb31 0.6272 0.1704 0.2475 1
Rb32 0.6272 0.9568 0.3797 1
Rb33 0.6704 0.0432 0.9229 1
Rb34 0.6704 0.1272 0.7475 1
Rb35 0.7475 0.5771 0.6203 1
Rb36 0.7475 0.6704 0.1272 1
Rb37 0.7525 0.3728 0.8296 1
Rb38 0.7525 0.8797 0.9229 1
Rb39 0.8296 0.5771 0.4568 1
Rb40 0.8296 0.7525 0.3728 1
Rb41 0.8728 0.1203 0.5432 1
Rb42 0.8728 0.2525 0.3296 1
Rb43 0.8797 0.4568 0.1272 1
Rb44 0.8797 0.9229 0.7525 1
Rb45 0.9229 0.6704 0.0432 1
Rb46 0.9229 0.7525 0.8797 1
Rb47 0.9568 0.0771 0.3296 1
Rb48 0.9568 0.3797 0.6272 1
Ag1 0.0000 0.0000 0.0000 1
Ag2 0.0000 0.0000 0.5000 1
Ag3 0.0000 0.5000 0.0000 1
Ag4 0.0000 0.5000 0.5000 1
Ag5 0.1250 0.7500 0.8750 1
Ag6 0.1250 0.8750 0.2500 1
Ag7 0.2500 0.1250 0.8750 1
Ag8 0.2500 0.6250 0.3750 1
Ag9 0.3750 0.2500 0.6250 1
Ag10 0.3750 0.6250 0.7500 1
Ag11 0.5000 0.0000 0.0000 1
Ag12 0.5000 0.0000 0.5000 1
Ag13 0.5000 0.5000 0.0000 1
Ag14 0.5000 0.5000 0.5000 1
Ag15 0.6250 0.3750 0.2500 1
Ag16 0.6250 0.7500 0.3750 1
Ag17 0.7500 0.3750 0.6250 1
Ag18 0.7500 0.8750 0.1250 1
Ag19 0.8750 0.1250 0.7500 1
Ag20 0.8750 0.2500 0.1250 1
F1 0.1250 0.2500 0.3750 1
F2 0.1250 0.3750 0.7500 1
F3 0.2500 0.3750 0.1250 1
F4 0.2500 0.8750 0.6250 1
F5 0.3750 0.1250 0.2500 1
F6 0.3750 0.7500 0.1250 1
F7 0.6250 0.2500 0.8750 1
F8 0.6250 0.8750 0.7500 1
F9 0.7500 0.1250 0.3750 1
F10 0.7500 0.6250 0.8750 1
F11 0.8750 0.6250 0.2500 1
F12 0.8750 0.7500 0.6250 1

***

Entry 6:
# PBE-GGA LaYPd2, optimized geometry
# Offset from the most stable computed form = 0.0671 eV per atom
# ΔE_f = -305.9 kJ/mol of formula units
# Space group = Fm-3m, No. 225
# Fermi-level density of states = 2.935 states/eV per cell
data_LaYPd2
_cell_length_a 5.1010
_cell_length_b 5.1010
_cell_length_c 5.1010
_cell_angle_alpha 60.00
_cell_angle_beta 60.00
_cell_angle_gamma 60.00
_symmetry_space_group_name_H-M 'P 1'
_symmetry_Int_Tables_number 1
_symmetry_space_group_name_Hall 'P 1'
loop_
_atom_site_label
_atom_site_fract_x
_atom_site_fract_y
_atom_site_fract_z
_atom_site_occupancy
La1 0.0000 0.0000 0.0000 1
Y1 0.5000 0.5000 0.5000 1
Pd1 0.2500 0.2500 0.2500 1
Pd2 0.7500 0.7500 0.7500 1

***

Entry 7:
# PBE-GGA LiEuLuAu, optimized geometry
# ΔE_f = -138.8 kJ/mol of formula units
# Space group = F-43m, No. 216
# Fermi-level density of states = 5.406 states/eV per cell
data_LiEuLuAu
_cell_length_a 5.1575
_cell_length_b 5.1575
_cell_length_c 5.1575
_cell_angle_alpha 60.00
_cell_angle_beta 60.00
_cell_angle_gamma 60.00
_symmetry_space_group_name_H-M 'P 1'
_symmetry_Int_Tables_number 1
_symmetry_space_group_name_Hall 'P 1'
loop_
_atom_site_label
_atom_site_fract_x
_atom_site_fract_y
_atom_site_fract_z
_atom_site_occupancy
Li1 0.0000 0.0000 0.0000 1
Eu1 0.2500 0.2500 0.2500 1
Lu1 0.7500 0.7500 0.7500 1
Au1 0.5000 0.5000 0.5000 1

***

Entry 8:
# PBE-GGA Pr2PuCo, optimized geometry
# Offset from the most stable computed form = 0.0000 eV per atom
# ΔE_f = 57.2 kJ/mol of formula units
# Space group = P4/mmm, No. 123
# Fermi-level density of states = 8.327 states/eV per cell
data_Pr2PuCo
_cell_length_a 3.5078
_cell_length_b 3.5078
_cell_length_c 8.7891
_cell_angle_alpha 90.00
_cell_angle_beta 90.00
_cell_angle_gamma 90.00
_symmetry_space_group_name_H-M 'P 1'
_symmetry_Int_Tables_number 1
_symmetry_space_group_name_Hall 'P 1'
loop_
_atom_site_label
_atom_site_fract_x
_atom_site_fract_y
_atom_site_fract_z
_atom_site_occupancy
Pr1 0.0000 0.0000 0.1969 1
Pr2 0.0000 0.0000 0.8031 1
Pu1 0.5000 0.5000 0.5000 1
Co1 0.5000 0.5000 0.0000 1